## Bi12Br5O16 (PBE)

Data for a relaxed Bi12Br5O16 crystal.

Cell lengths 31.5129, 3.9817, 10.2181 Å; angles 90.00, 90.27, 90.00 degrees
Last column: nearest neighbours and their distance in Å.
Space group C2/m (No. 12)
Unique sites:
1 Bi 0.0285 0.0000 0.2639 (multiplicity 4)  4 O 2.27-2.28
2 Bi 0.0590 0.5000 0.5674 (multiplicity 4)  8 O 2.36-2.61
3 Bi 0.0898 0.0000 0.8849 (multiplicity 4)  4 O 2.23-2.32
4 Bi 0.1474 0.0000 0.4173 (multiplicity 4)  4 O 2.14-2.36
5 Bi 0.1741 0.5000 0.7212 (multiplicity 4)  4 O 2.28-2.50
6 Bi 0.2047 0.0000 0.0507 (multiplicity 4)  4 O 2.26-2.30
7 Br 0.0000 0.5000 0.0000 (multiplicity 2)  8 Bi 3.47-3.66, 6 O 3.78-3.84, 2 Br 3.79
8 Br 0.1116 0.5000 0.1410 (multiplicity 4)  8 Bi 3.36-3.67, 3 O 3.68-3.73
9 Br 0.2220 0.5000 0.3014 (multiplicity 4)  4 Bi 3.29-3.31, 3 O 3.32-3.59
10 O 0.0170 0.5000 0.3663 (multiplicity 4)  4 Bi 2.28-2.49
11 O 0.0432 0.0000 0.7086 (multiplicity 4)  4 Bi 2.28-2.51
12 O 0.0729 0.0000 0.4393 (multiplicity 4)  4 Bi 2.27-2.42
13 O 0.1046 0.5000 0.7809 (multiplicity 4)  3 Bi 2.28-2.31
14 O 0.1317 0.5000 0.5140 (multiplicity 4)  4 Bi 2.28-2.50
15 O 0.1603 0.0000 0.8714 (multiplicity 4)  2 Bi 2.23-2.30
16 O 0.1769 0.0000 0.6068 (multiplicity 4)  3 Bi 2.14-2.31
17 O 0.2235 0.5000 0.9553 (multiplicity 4)  3 Bi 2.26-2.30

## Properties
Uncorrected energy   -344.727 eV for the cell shown
Total magnetic moment   0.00 μB/f.u.
Crystal system   monoclinic
Uncorrected formation energy   -1.154 eV/atom